MnOs4Rh GGA-PBE optimized geometry; total moment = 0.291 μB/atom; SG = F-43m (216); ΔH_f (0 K) = 0.68 eV per atom
1.0
4.200 -0.686 2.829
-0.396 -1.802 4.765
1.605 -4.729 1.085
Os Rh Mn
4 1 1
direct
0.375 0.375 0.375
0.874 0.375 0.375
0.375 0.375 0.874
0.375 0.874 0.375
0.750 0.750 0.750
0.000 0.000 0.000